(1)
5
Lattice="5.213 0.000 0.000 0.000 5.972 0.000 0.000 0.000 5.972" Properties=species:S:1:pos:R:3 comment="KBaAl2Tc, single point on PBEsol structure, DFT meta-GGA SCAN" delta_e_f_ev_per_fu=8.18 pbc="T T T"
K 2.607 2.986 2.986
Al 0.000 0.000 2.986
Al 0.000 2.986 0.000
Ba 0.000 0.000 0.000
Tc 2.607 0.000 0.000


(2)
3
Lattice="3.856 0.000 0.000 -1.928 3.340 0.000 0.000 0.000 8.365" Properties=species:S:1:pos:R:3 comment="BaLaAl, single point on PBEsol structure, DFT meta-GGA SCAN" delta_e_f_ev_per_fu=0.30 pbc="T T T"
La 1.928 1.113 2.321
Ba 0.000 2.226 5.942
Al 0.000 0.000 0.102


(3)
5
Lattice="5.712 0.000 0.000 0.000 5.712 0.000 0.000 0.000 5.774" Properties=species:S:1:pos:R:3 comment="BaLaMg2Al, single point on PBEsol structure, DFT meta-GGA SCAN" delta_e_f_ev_per_fu=6.30 pbc="T T T"
Mg 0.000 2.856 0.000
Mg 2.856 0.000 0.000
Al 2.856 2.856 2.887
Ba 0.000 0.000 0.000
La 0.000 0.000 2.887


(4)
4
Lattice="-2.156 -2.833 0.113 3.291 -2.372 3.346 -2.586 2.129 4.053" Properties=species:S:1:pos:R:3 comment="BaLi2Al, single point on PBEsol structure, DFT meta-GGA SCAN" delta_e_f_ev_per_fu=0.83 pbc="T T T"
Al -0.726 -1.538 3.756
Ba -1.078 -1.417 0.056
Li -1.293 1.065 2.026
Li 1.645 -1.186 1.673


(5)
4
Lattice="4.816 0.000 0.000 -2.408 4.173 -0.034 0.000 -2.734 5.811" Properties=species:S:1:pos:R:3 comment="BaLi2Al, single point on PBEsol structure, DFT meta-GGA SCAN" delta_e_f_ev_per_fu=-0.19 pbc="T T T"
Li 0.000 0.009 0.998
Li 2.408 1.404 1.512
Al 0.000 2.799 1.903
Ba 0.000 0.034 4.236


(6)
4
Lattice="-3.707 1.980 -2.303 2.355 -3.671 -1.961 -3.764 -1.717 4.584" Properties=species:S:1:pos:R:3 comment="BaLi2Al, single point on PBEsol structure, DFT meta-GGA SCAN" delta_e_f_ev_per_fu=-0.26 pbc="T T T"
Li -4.963 -2.186 1.123
Li -0.154 -1.222 -0.803
Ba -1.882 -0.859 2.292
Al -1.854 0.990 -1.151